No. 1
First-principles (PBE-GGA) data for PuTc4P3 after structural relaxation, as listed in the Alexandria database.

Structure (POSCAR):
```
PuTc4P3
1.0
4.046 0.000 0.000
0.000 4.046 0.000
0.000 0.000 7.721
Pu Tc P
1 4 3
Direct
0.000 0.000 0.000 Pu
0.000 0.500 0.321 Tc
0.000 0.500 0.679 Tc
0.500 0.000 0.321 Tc
0.500 0.000 0.679 Tc
0.000 0.000 0.500 P
0.500 0.500 0.161 P
0.500 0.500 0.839 P
```

Calculated values
DFT formation energy, eV/atom: -0.491
V, Å³ per atom: 15.80
Final energy, eV/cell: -76.0

No. 2
First-principles (PBE-GGA) data for Nd7DyMg4 after structural relaxation, as listed in the Alexandria database.

Structure (POSCAR):
```
Nd7DyMg4
1.0
7.733 -2.935 0.000
7.733 2.935 0.000
-5.101 0.000 8.426
Nd Dy Mg
7 1 4
Direct
0.000 0.000 0.000 Nd
0.247 0.247 0.713 Nd
0.303 0.303 0.122 Nd
0.418 0.418 0.574 Nd
0.582 0.582 0.426 Nd
0.697 0.697 0.878 Nd
0.753 0.753 0.287 Nd
0.500 0.500 0.000 Dy
0.038 0.038 0.694 Mg
0.174 0.174 0.345 Mg
0.826 0.826 0.655 Mg
0.962 0.962 0.306 Mg
```

Calculated values
DFT formation energy, eV/atom: 0.125
V, Å³ per atom: 31.87
Final energy, eV/cell: -42.9

No. 3
First-principles (PBE-GGA) data for CaAlCu after structural relaxation, as listed in the Alexandria database.

Structure (POSCAR):
```
CaAlCu
1.0
6.478 0.000 0.000
0.000 6.478 0.000
0.000 0.000 6.478
Ca Al Cu
4 4 4
Direct
0.000 0.000 0.000 Ca
0.000 0.500 0.500 Ca
0.500 0.000 0.500 Ca
0.500 0.500 0.000 Ca
0.000 0.000 0.500 Al
0.000 0.500 0.000 Al
0.500 0.000 0.000 Al
0.500 0.500 0.500 Al
0.250 0.250 0.250 Cu
0.250 0.750 0.750 Cu
0.750 0.250 0.750 Cu
0.750 0.750 0.250 Cu
```

Calculated values
DFT formation energy, eV/atom: -0.017
V, Å³ per atom: 22.66
Final energy, eV/cell: -39.6

No. 4
First-principles (PBE-GGA) data for TlBRh3 after structural relaxation, as listed in the Alexandria database.

Structure (POSCAR):
```
TlBRh3
1.0
4.965 0.000 0.000
0.000 5.716 0.000
-1.023 0.000 5.236
Tl B Rh
2 2 6
Direct
0.129 0.250 0.271 Tl
0.871 0.750 0.729 Tl
0.408 0.750 0.025 B
0.592 0.250 0.975 B
0.128 0.750 0.263 Rh
0.376 0.501 0.733 Rh
0.376 0.999 0.733 Rh
0.624 0.001 0.267 Rh
0.624 0.499 0.267 Rh
0.872 0.250 0.737 Rh
```

Calculated values
DFT formation energy, eV/atom: -0.043
V, Å³ per atom: 14.86
Final energy, eV/cell: -62.6

No. 5
First-principles (PBE-GGA) data for RbCa2Hg2 after structural relaxation, as listed in the Alexandria database.

Structure (POSCAR):
```
RbCa2Hg2
1.0
5.327 0.000 0.000
0.000 5.327 0.000
0.000 0.000 13.372
Rb Ca Hg
2 4 4
Direct
0.000 0.000 0.000 Rb
0.500 0.500 0.500 Rb
0.000 0.500 0.250 Ca
0.000 0.500 0.750 Ca
0.500 0.000 0.250 Ca
0.500 0.000 0.750 Ca
0.000 0.000 0.387 Hg
0.000 0.000 0.613 Hg
0.500 0.500 0.113 Hg
0.500 0.500 0.887 Hg
```

Calculated values
DFT formation energy, eV/atom: -0.241
V, Å³ per atom: 37.95
Energy above the lowest structure with this stoichiometry, eV/atom: 0.045
Final energy, eV/cell: -13.6

No. 6
First-principles (PBE-GGA) data for ZrTaCu2 after structural relaxation, as listed in the Alexandria database.

Structure (POSCAR):
```
ZrTaCu2
1.0
4.070 0.000 0.000
0.000 4.070 0.000
0.000 0.000 7.804
Zr Ta Cu
2 2 4
Direct
0.000 0.000 0.000 Zr
0.500 0.500 0.500 Zr
0.000 0.000 0.500 Ta
0.500 0.500 0.000 Ta
0.000 0.500 0.250 Cu
0.000 0.500 0.750 Cu
0.500 0.000 0.250 Cu
0.500 0.000 0.750 Cu
```

Calculated values
DFT formation energy, eV/atom: 0.079
V, Å³ per atom: 16.16
Final energy, eV/cell: -56.6

What did the fourth record say?
First-principles (PBE-GGA) data for TlBRh3 after structural relaxation, as listed in the Alexandria database.

Structure (POSCAR):
```
TlBRh3
1.0
4.965 0.000 0.000
0.000 5.716 0.000
-1.023 0.000 5.236
Tl B Rh
2 2 6
Direct
0.129 0.250 0.271 Tl
0.871 0.750 0.729 Tl
0.408 0.750 0.025 B
0.592 0.250 0.975 B
0.128 0.750 0.263 Rh
0.376 0.501 0.733 Rh
0.376 0.999 0.733 Rh
0.624 0.001 0.267 Rh
0.624 0.499 0.267 Rh
0.872 0.250 0.737 Rh
```

Calculated values
DFT formation energy, eV/atom: -0.043
V, Å³ per atom: 14.86
Final energy, eV/cell: -62.6

Which value of final energy does entry 5 give? -13.6 eV/cell